Entry 1:
# LiTbPa2S4

Crystalline LiTbPa2S4 at its relaxed geometry (PBE, the Alexandria database).

Unit cell a=6.5420 b=3.7975 c=6.9517 alpha=90.00 beta=108.43 gamma=90.00
Last column: nearest neighbours and their distance in Å.
Element x y z (fractional)
Li (0.0000, 0.0000, 0.0000)  6 S 2.65-2.67
Tb (0.5000, 0.5000, 0.0000)  6 S 2.73
Pa (0.0000, 0.5000, 0.5000)  6 S 2.75
Pa (0.5000, 0.0000, 0.5000)  6 S 2.81-2.83
S (0.2380, 0.5000, 0.2377)  2 Li 2.67, 1 Tb 2.73, 3 Pa 2.75-2.81
S (0.2432, 0.0000, 0.7594)  1 Li 2.65, 2 Tb 2.73, 3 Pa 2.75-2.83
S (0.7568, 0.0000, 0.2406)  1 Li 2.65, 2 Tb 2.73, 3 Pa 2.75-2.83
S (0.7620, 0.5000, 0.7623)  2 Li 2.67, 1 Tb 2.73, 3 Pa 2.75-2.81

## Properties
Total magnetic moment, μB per cell: 0.838
Formation energy (no corrections), eV per atom: -1.6391
Raw total energy, eV/atom: -6.8948

***

Entry 2:
# LiTh2PaS4

Crystalline LiTh2PaS4 at its relaxed geometry (PBE, the Alexandria database).

Unit cell a=6.7913 b=3.9069 c=6.8862 alpha=90.00 beta=108.70 gamma=90.00
Last column: nearest neighbours and their distance in Å.
Element x y z (fractional)
Li (0.0000, 0.0000, 0.0000)  6 S 2.65-2.68
Th (0.5000, 0.0000, 0.5000)  6 S 2.90
Th (0.5000, 0.5000, 0.0000)  6 S 2.83
Pa (0.0000, 0.5000, 0.5000)  6 S 2.74-2.75
S (0.2264, 0.5000, 0.2348)  2 Li 2.68, 1 Pa 2.74, 3 Th 2.83-2.90
S (0.2315, 0.0000, 0.7542)  1 Li 2.65, 2 Pa 2.75, 3 Th 2.83-2.90
S (0.7685, 0.0000, 0.2458)  1 Li 2.65, 2 Pa 2.75, 3 Th 2.83-2.90
S (0.7736, 0.5000, 0.7652)  2 Li 2.68, 1 Pa 2.74, 3 Th 2.83-2.90

## Properties
Total magnetic moment, μB per cell: 0.002
Formation energy (no corrections), eV per atom: -1.6828
Raw total energy, eV/atom: -7.0277

***

Entry 3:
# Li3PaTi2S6

Crystalline Li3PaTi2S6 at its relaxed geometry (PBE, the Alexandria database).

Unit cell a=6.2406 b=6.2406 c=6.5776 alpha=99.11 beta=99.11 gamma=119.99
Last column: nearest neighbours and their distance in Å.
Element x y z (fractional)
Li (0.0000, 0.0000, 0.0000)  6 S 2.54-2.67
Li (0.3350, 0.6650, 0.0000)  6 S 2.55-2.67
Li (0.6650, 0.3350, 0.0000)  6 S 2.55-2.67
Pa (0.5000, 0.5000, 0.5000)  6 S 2.67
Ti (0.1665, 0.8335, 0.5000)  6 S 2.54
Ti (0.8335, 0.1665, 0.5000)  6 S 2.54
S (0.0680, 0.4187, 0.2559)  2 Ti 2.54, 3 Li 2.55-2.67, 1 Pa 2.67
S (0.2315, 0.2315, 0.7453)  3 Li 2.54-2.65, 2 Ti 2.54, 1 Pa 2.67
S (0.4187, 0.0680, 0.2559)  2 Ti 2.54, 3 Li 2.55-2.67, 1 Pa 2.67
S (0.5813, 0.9320, 0.7441)  2 Ti 2.54, 3 Li 2.55-2.67, 1 Pa 2.67
S (0.7685, 0.7685, 0.2547)  3 Li 2.54-2.65, 2 Ti 2.54, 1 Pa 2.67
S (0.9320, 0.5813, 0.7441)  2 Ti 2.54, 3 Li 2.55-2.67, 1 Pa 2.67

## Properties
Total magnetic moment, μB per cell: 2.084
Formation energy (no corrections), eV per atom: -1.4448
Raw total energy, eV/atom: -6.0941

***

Entry 4:
# Li3Pa2TiS6

Crystalline Li3Pa2TiS6 at its relaxed geometry (PBE, the Alexandria database).

Unit cell a=8.4887 b=8.4887 c=7.6582 alpha=105.12 beta=105.12 gamma=25.58
Last column: nearest neighbours and their distance in Å.
Element x y z (fractional)
Li (0.0000, 0.0000, 0.0000)  6 S 2.59-2.79
Li (0.3369, 0.3369, 0.6712)  6 S 2.55-2.81
Li (0.6631, 0.6631, 0.3288)  6 S 2.55-2.81
Pa (0.3367, 0.3367, 0.1779)  6 S 2.67-2.78
Pa (0.6633, 0.6633, 0.8221)  6 S 2.67-2.78
Ti (0.0000, 0.0000, 0.5000)  6 S 2.58-2.59
S (0.1611, 0.1611, 0.5642)  1 Ti 2.58, 3 Li 2.61-2.81, 2 Pa 2.72
S (0.1623, 0.1623, 0.0878)  3 Li 2.59-2.63, 3 Pa 2.77-2.78
S (0.4961, 0.4961, 0.7295)  3 Li 2.55-2.79, 2 Ti 2.59, 1 Pa 2.67
S (0.5039, 0.5039, 0.2705)  3 Li 2.55-2.79, 2 Ti 2.59, 1 Pa 2.67
S (0.8377, 0.8377, 0.9122)  3 Li 2.59-2.63, 3 Pa 2.77-2.78
S (0.8389, 0.8389, 0.4358)  1 Ti 2.58, 3 Li 2.61-2.81, 2 Pa 2.72

## Properties
Total magnetic moment, μB per cell: 4.351
Formation energy (no corrections), eV per atom: -1.4473
Raw total energy, eV/atom: -6.2300

***

Entry 5:
# Li2PaTi2S6

Crystalline Li2PaTi2S6 at its relaxed geometry (PBE, the Alexandria database).

Unit cell a=6.3053 b=6.3053 c=6.5738 alpha=99.21 beta=99.21 gamma=120.41
Last column: nearest neighbours and their distance in Å.
Element x y z (fractional)
Li (0.1668, 0.8332, 0.0000)  6 S 2.57-2.69
Li (0.8332, 0.1668, 0.0000)  6 S 2.57-2.69
Pa (0.0000, 0.0000, 0.5000)  6 S 2.65-2.66
Ti (0.3347, 0.6653, 0.5000)  6 S 2.51-2.54
Ti (0.6653, 0.3347, 0.5000)  6 S 2.51-2.54
S (0.0749, 0.4283, 0.7370)  2 Ti 2.51-2.54, 2 Li 2.57-2.69, 1 Pa 2.66
S (0.2696, 0.2696, 0.2609)  2 Ti 2.52, 1 Pa 2.65, 2 Li 2.69
S (0.4283, 0.0749, 0.7370)  2 Ti 2.51-2.54, 2 Li 2.57-2.69, 1 Pa 2.66
S (0.5717, 0.9251, 0.2630)  2 Ti 2.51-2.54, 2 Li 2.57-2.69, 1 Pa 2.66
S (0.7304, 0.7304, 0.7391)  2 Ti 2.52, 1 Pa 2.65, 2 Li 2.69
S (0.9251, 0.5717, 0.2630)  2 Ti 2.51-2.54, 2 Li 2.57-2.69, 1 Pa 2.66

## Properties
Total magnetic moment, μB per cell: 2.972
Formation energy (no corrections), eV per atom: -1.4542
Raw total energy, eV/atom: -6.3522

***

Entry 6:
# LiPaTiS4

Crystalline LiPaTiS4 at its relaxed geometry (PBE, the Alexandria database).

Unit cell a=7.5230 b=7.5230 c=7.5230 alpha=122.64 beta=114.72 gamma=92.43
Last column: nearest neighbours and their distance in Å.
Element x y z (fractional)
Li (0.3980, 0.1480, 0.2500)  4 S 2.45-2.50
Li (0.6020, 0.8520, 0.7500)  4 S 2.45-2.50
Pa (0.0000, 0.5000, 0.5000)  6 S 2.67-2.70
Pa (0.5000, 0.5000, 0.0000)  6 S 2.67-2.70
Ti (0.0000, 0.0000, 0.5000)  6 S 2.53
Ti (0.0000, 0.5000, 0.0000)  6 S 2.53
S (0.2132, 0.2452, 0.9680)  1 Li 2.50, 2 Ti 2.53, 1 Pa 2.67
S (0.2229, 0.7548, 0.4680)  1 Li 2.50, 2 Ti 2.53, 1 Pa 2.67
S (0.2427, 0.2470, 0.5043)  1 Li 2.45, 1 Ti 2.53, 2 Pa 2.70
S (0.2427, 0.7385, 0.9957)  1 Li 2.45, 1 Ti 2.53, 2 Pa 2.70
S (0.7573, 0.2615, 0.0043)  1 Li 2.45, 1 Ti 2.53, 2 Pa 2.70
S (0.7573, 0.7530, 0.4957)  1 Li 2.45, 1 Ti 2.53, 2 Pa 2.70
S (0.7771, 0.2452, 0.5320)  1 Li 2.50, 2 Ti 2.53, 1 Pa 2.67
S (0.7868, 0.7548, 0.0320)  1 Li 2.50, 2 Ti 2.53, 1 Pa 2.67

## Properties
Total magnetic moment, μB per cell: 3.975
Formation energy (no corrections), eV per atom: -1.4819
Raw total energy, eV/atom: -6.5982

***

Entry 7:
# Li2PaTlS4

Crystalline Li2PaTlS4 at its relaxed geometry (PBE, the Alexandria database).

Unit cell a=6.3055 b=6.3055 c=6.3055 alpha=113.24 beta=113.24 gamma=102.18
Last column: nearest neighbours and their distance in Å.
Element x y z (fractional)
Li (0.2500, 0.7500, 0.5000)  4 S 2.55
Li (0.7500, 0.2500, 0.5000)  4 S 2.55
Pa (0.0000, 0.0000, 0.0000)  4 S 2.55
Tl (0.5000, 0.5000, 0.0000)  8 S 3.06-3.38
S (0.0491, 0.0491, 0.4400)  1 Pa 2.55, 2 Li 2.55
S (0.3910, 0.9509, 0.0000)  1 Pa 2.55, 2 Li 2.55
S (0.6090, 0.6090, 0.5600)  1 Pa 2.55, 2 Li 2.55
S (0.9509, 0.3910, 0.0000)  1 Pa 2.55, 2 Li 2.55

## Properties
Total magnetic moment, μB per cell: 0.000
Formation energy (no corrections), eV per atom: -1.0937
Raw total energy, eV/atom: -5.1187

***

Entry 8:
# Li2Pa2TlS6

Crystalline Li2Pa2TlS6 at its relaxed geometry (PBE, the Alexandria database).

Unit cell a=6.8034 b=7.1425 c=7.1530 alpha=61.33 beta=67.93 gamma=75.12
Last column: nearest neighbours and their distance in Å.
Element x y z (fractional)
Li (0.0014, 0.1551, 0.2497)  4 S 2.53-2.60
Li (0.9986, 0.8449, 0.7503)  4 S 2.53-2.60
Pa (0.4865, 0.1726, 0.6725)  6 S 2.67-2.73
Pa (0.5135, 0.8274, 0.3275)  6 S 2.67-2.73
Tl (0.5000, 0.5000, 0.0000)  6 S 3.13-3.22
S (0.2572, 0.1264, 0.4572)  2 Li 2.56-2.60, 2 Pa 2.69-2.73
S (0.2580, 0.5361, 0.6867)  1 Li 2.56, 2 Pa 2.69-2.71
S (0.2590, 0.9148, 0.0768)  1 Li 2.53, 2 Pa 2.67-2.70
S (0.7410, 0.0852, 0.9232)  1 Li 2.53, 2 Pa 2.67-2.70
S (0.7420, 0.4639, 0.3133)  1 Li 2.56, 2 Pa 2.69-2.71
S (0.7428, 0.8736, 0.5428)  2 Li 2.56-2.60, 2 Pa 2.69-2.73

## Properties
Total magnetic moment, μB per cell: 1.099
Formation energy (no corrections), eV per atom: -1.3436
Raw total energy, eV/atom: -5.8845

***

Entry 9:
# LiPa3Tl4S8

Crystalline LiPa3Tl4S8 at its relaxed geometry (PBE, the Alexandria database).

Unit cell a=8.9145 b=8.9145 c=8.9145 alpha=53.56 beta=53.56 gamma=53.56
Last column: nearest neighbours and their distance in Å.
Element x y z (fractional)
Li (0.0000, 0.0000, 0.0000)  6 S 2.79
Pa (0.0000, 0.5000, 0.5000)  6 S 2.72-2.76
Pa (0.5000, 0.0000, 0.5000)  6 S 2.72-2.76
Pa (0.5000, 0.5000, 0.0000)  6 S 2.72-2.76
Tl (0.0000, 0.0000, 0.5000)  6 S 3.28-3.31
Tl (0.0000, 0.5000, 0.0000)  6 S 3.28-3.31
Tl (0.5000, 0.0000, 0.0000)  6 S 3.28-3.31
Tl (0.5000, 0.5000, 0.5000)  6 S 3.25
S (0.2351, 0.2351, 0.7229)  2 Pa 2.72, 1 Li 2.79
S (0.2351, 0.7229, 0.2351)  2 Pa 2.72, 1 Li 2.79
S (0.2680, 0.2680, 0.2680)  3 Pa 2.76
S (0.2771, 0.7649, 0.7649)  2 Pa 2.72, 1 Li 2.79
S (0.7229, 0.2351, 0.2351)  2 Pa 2.72, 1 Li 2.79
S (0.7320, 0.7320, 0.7320)  3 Pa 2.76
S (0.7649, 0.2771, 0.7649)  2 Pa 2.72, 1 Li 2.79
S (0.7649, 0.7649, 0.2771)  2 Pa 2.72, 1 Li 2.79

## Properties
Total magnetic moment, μB per cell: 4.043
Formation energy (no corrections), eV per atom: -1.1246
Raw total energy, eV/atom: -5.6800

***

Entry 10:
# LiTm2PaS4

Crystalline LiTm2PaS4 at its relaxed geometry (PBE, the Alexandria database).

Unit cell a=6.6149 b=3.8045 c=6.7253 alpha=90.00 beta=108.99 gamma=90.00
Last column: nearest neighbours and their distance in Å.
Element x y z (fractional)
Li (0.0000, 0.0000, 0.0000)  6 S 2.67-2.69
Tm (0.5000, 0.0000, 0.5000)  6 S 2.74-2.76
Tm (0.5000, 0.5000, 0.0000)  6 S 2.68-2.70
Pa (0.0000, 0.5000, 0.5000)  6 S 2.73-2.75
S (0.2474, 0.5000, 0.2444)  2 Li 2.69, 3 Tm 2.70-2.74, 1 Pa 2.73
S (0.2514, 0.0000, 0.7598)  1 Li 2.67, 3 Tm 2.68-2.76, 2 Pa 2.75
S (0.7486, 0.0000, 0.2402)  1 Li 2.67, 3 Tm 2.68-2.76, 2 Pa 2.75
S (0.7526, 0.5000, 0.7556)  2 Li 2.69, 3 Tm 2.70-2.74, 1 Pa 2.73

## Properties
Total magnetic moment, μB per cell: 0.000
Formation energy (no corrections), eV per atom: -1.7655
Raw total energy, eV/atom: -6.3733

***

Entry 11:
# Li4Tm3PaS8

Crystalline Li4Tm3PaS8 at its relaxed geometry (PBE, the Alexandria database).

Unit cell a=7.6216 b=7.6216 c=7.6216 alpha=60.89 beta=60.89 gamma=60.89
Last column: nearest neighbours and their distance in Å.
Element x y z (fractional)
Li (0.0000, 0.0000, 0.0000)  6 S 2.69
Li (0.0000, 0.5000, 0.5000)  6 S 2.71-2.72
Li (0.5000, 0.0000, 0.5000)  6 S 2.71-2.72
Li (0.5000, 0.5000, 0.0000)  6 S 2.71-2.72
Tm (0.0000, 0.0000, 0.5000)  6 S 2.71-2.72
Tm (0.0000, 0.5000, 0.0000)  6 S 2.71-2.72
Tm (0.5000, 0.0000, 0.0000)  6 S 2.71-2.72
Pa (0.5000, 0.5000, 0.5000)  6 S 2.74
S (0.2476, 0.2476, 0.7517)  3 Li 2.69-2.71, 2 Tm 2.72, 1 Pa 2.74
S (0.2476, 0.7517, 0.2476)  3 Li 2.69-2.71, 2 Tm 2.72, 1 Pa 2.74
S (0.2483, 0.7524, 0.7524)  3 Li 2.69-2.71, 2 Tm 2.72, 1 Pa 2.74
S (0.2496, 0.2496, 0.2496)  3 Tm 2.71, 3 Li 2.72
S (0.7504, 0.7504, 0.7504)  3 Tm 2.71, 3 Li 2.72
S (0.7517, 0.2476, 0.2476)  3 Li 2.69-2.71, 2 Tm 2.72, 1 Pa 2.74
S (0.7524, 0.2483, 0.7524)  3 Li 2.69-2.71, 2 Tm 2.72, 1 Pa 2.74
S (0.7524, 0.7524, 0.2483)  3 Li 2.69-2.71, 2 Tm 2.72, 1 Pa 2.74

## Properties
Total magnetic moment, μB per cell: 1.679
Formation energy (no corrections), eV per atom: -1.7309
Raw total energy, eV/atom: -5.7050

***

Entry 12:
# Li3Tm3PaS8

Crystalline Li3Tm3PaS8 at its relaxed geometry (PBE, the Alexandria database).

Unit cell a=7.6366 b=7.6366 c=7.6366 alpha=61.47 beta=61.47 gamma=61.47
Last column: nearest neighbours and their distance in Å.
Element x y z (fractional)
Li (0.0000, 0.5000, 0.5000)  6 S 2.74-2.75
Li (0.5000, 0.0000, 0.5000)  6 S 2.74-2.75
Li (0.5000, 0.5000, 0.0000)  6 S 2.74-2.75
Tm (0.0000, 0.0000, 0.5000)  6 S 2.71-2.72
Tm (0.0000, 0.5000, 0.0000)  6 S 2.71-2.72
Tm (0.5000, 0.0000, 0.0000)  6 S 2.71-2.72
Pa (0.5000, 0.5000, 0.5000)  6 S 2.70
S (0.2488, 0.2488, 0.2488)  3 Tm 2.72, 3 Li 2.74
S (0.2491, 0.7476, 0.7476)  1 Pa 2.70, 2 Tm 2.71, 2 Li 2.75
S (0.2524, 0.2524, 0.7509)  1 Pa 2.70, 2 Tm 2.71, 2 Li 2.75
S (0.2524, 0.7509, 0.2524)  1 Pa 2.70, 2 Tm 2.71, 2 Li 2.75
S (0.7476, 0.2491, 0.7476)  1 Pa 2.70, 2 Tm 2.71, 2 Li 2.75
S (0.7476, 0.7476, 0.2491)  1 Pa 2.70, 2 Tm 2.71, 2 Li 2.75
S (0.7509, 0.2524, 0.2524)  1 Pa 2.70, 2 Tm 2.71, 2 Li 2.75
S (0.7512, 0.7512, 0.7512)  3 Tm 2.72, 3 Li 2.74

## Properties
Total magnetic moment, μB per cell: 0.971
Formation energy (no corrections), eV per atom: -1.7754
Raw total energy, eV/atom: -5.8868